1.
VASP calculation (PBE) on Ce2SmTeO4 after structural relaxation.

Structure (POSCAR):
```
Ce2SmTeO4
1.0
3.985 0.000 0.000
0.000 3.985 0.000
0.000 0.000 9.212
Sm O Ce Te
1 4 2 1
direct
0.000 0.000 0.000
0.000 0.500 0.845
0.500 0.000 0.845
0.500 0.000 0.155
0.000 0.500 0.155
0.500 0.500 0.729
0.500 0.500 0.271
0.000 0.000 0.500
```

The value obtained for the raw formation energy is -3130 meV per atom.


2.
VASP calculation (PBE) on Ba2ScCl after structural relaxation.

Structure (POSCAR):
```
Ba2ScCl
1.0
-2.950 2.411 6.102
3.919 -2.773 5.357
-0.094 4.481 -5.626
Ba Sc Cl
2 1 1
direct
0.953 0.953 0.000
0.547 0.547 0.000
0.250 0.750 0.500
0.750 0.250 0.500
```

The value obtained for the raw formation energy is -330 meV per atom.


3.
VASP calculation (PBE) on Ta2VCr after structural relaxation.

Structure (POSCAR):
```
Ta2VCr
1.0
3.127 0.000 0.000
0.000 3.127 0.000
0.000 0.000 6.296
Cr Ta V
1 2 1
direct
0.500 0.500 0.000
0.000 0.000 0.243
0.000 0.000 0.757
0.500 0.500 0.500
```

The value obtained for the formation energy is -0.5 kJ per mole of atoms.


4.
VASP calculation (PBE) on MgPaAu2O8 after structural relaxation.

Structure (POSCAR):
```
MgPaAu2O8
1.0
6.025 0.359 0.000
-2.350 5.559 0.000
-1.837 -2.959 4.929
O Pa Mg Au
8 1 1 2
direct
0.344 0.022 0.322
0.276 0.457 0.181
0.978 0.656 0.678
0.543 0.724 0.819
0.978 0.301 0.322
0.699 0.022 0.678
0.905 0.724 0.181
0.276 0.095 0.819
0.000 0.000 0.000
0.250 0.750 0.500
0.500 0.500 0.000
0.750 0.250 0.500
```

The value obtained for the raw formation energy is -1084 meV per atom.


5.
VASP calculation (PBE) on Ba3PaZn2O9 after structural relaxation.

Structure (POSCAR):
```
Ba3PaZn2O9
1.0
-5.554 1.552 1.303
1.449 -5.716 -0.425
1.659 -0.116 7.206
Ba O Zn Pa
3 9 2 1
direct
0.667 0.333 0.303
0.000 0.000 0.000
0.333 0.667 0.697
0.000 0.500 0.000
0.336 0.168 0.671
0.500 0.000 0.000
0.168 0.336 0.329
0.168 0.832 0.329
0.832 0.664 0.671
0.664 0.832 0.329
0.832 0.168 0.671
0.500 0.500 0.000
0.333 0.667 0.165
0.667 0.333 0.835
0.000 0.000 0.500
```

The value obtained for the raw formation energy is -2241 meV per atom.


6.
VASP calculation (PBE) on NiAuBr2 after structural relaxation.

Structure (POSCAR):
```
NiAuBr2
1.0
3.986 -0.034 0.000
-2.568 3.048 0.000
0.000 0.000 8.138
Br Au Ni
2 1 1
direct
0.000 0.000 0.458
0.000 0.000 0.042
0.500 0.500 0.750
0.500 0.500 0.250
```

The value obtained for the raw formation energy is 228 meV per atom.


| no. | uncorrected energy (eV/atom) |
| --- | --- |
| 1 | -8.075 |
| 2 | -3.336 |
| 3 | -10.617 |
| 4 | -5.860 |
| 5 | -6.403 |
| 6 | -2.873 |